CdAg8Sn2: optimized geometry, PBE-GGA.

Values from the calculation:
Volume (Å³/atom): 20.14
Total moment (μB per formula unit): 0.0
Polymorph energy (0 for the lowest one) (eV/atom): 0.016
ρ (Mg/m³): 9.1
Electronic total energy (eV/atom): -2.8644
Formation energy from the elements (kJ/mol of formula units): 21
Space-group type: Immm, No. 71

Unit cell a=7.7971 b=7.7971 c=7.7971 alpha=148.48 beta=114.60 gamma=74.41
Positions (direct):
Cd1 0.0000 0.0000 0.0000
Ag1 0.0880 0.8362 0.2518
Ag2 0.1703 0.6703 0.5000
Ag3 0.2449 0.5000 0.7449
Ag4 0.4155 0.1638 0.2518
Ag5 0.5845 0.8362 0.7482
Ag6 0.7551 0.5000 0.2551
Ag7 0.8297 0.3297 0.5000
Ag8 0.9120 0.1638 0.7482
Sn1 0.3447 0.3447 0.0000
Sn2 0.6553 0.6553 0.0000

***

Cd5Ag6Sn: optimized geometry, PBE-GGA.

Values from the calculation:
Volume (Å³/atom): 19.83
Total moment (μB per formula unit): 0.0
Polymorph energy (0 for the lowest one) (eV/atom): 0.000
ρ (Mg/m³): 9.3
Electronic total energy (eV/atom): -2.1653
Formation energy from the elements (kJ/mol of formula units): -29
Space-group type: P2/m, No. 10

Unit cell a=4.9903 b=6.5161 c=7.4215 alpha=90.00 beta=99.57 gamma=90.00
Positions (direct):
Cd1 0.0000 0.0000 0.0000
Cd2 0.3263 0.0000 0.6707
Cd3 0.3277 0.5000 0.6636
Cd4 0.6723 0.5000 0.3364
Cd5 0.6737 0.0000 0.3293
Ag1 0.1768 0.2454 0.3367
Ag2 0.1768 0.7546 0.3367
Ag3 0.5000 0.2486 0.0000
Ag4 0.5000 0.7514 0.0000
Ag5 0.8232 0.2454 0.6633
Ag6 0.8232 0.7546 0.6633
Sn1 0.0000 0.5000 0.0000

***

Cd3AgSn: optimized geometry, PBE-GGA.

Values from the calculation:
Volume (Å³/atom): 28.53
Total moment (μB per formula unit): 0.0
Polymorph energy (0 for the lowest one) (eV/atom): 0.317
ρ (Mg/m³): 6.6
Electronic total energy (eV/atom): -1.5968
Formation energy from the elements (kJ/mol of formula units): 156
Space-group type: Pm-3m, No. 221

Unit cell a=5.2253 b=5.2253 c=5.2253 alpha=90.00 beta=90.00 gamma=90.00
Positions (direct):
Cd1 0.0000 0.0000 0.5000
Cd2 0.0000 0.5000 0.0000
Cd3 0.5000 0.0000 0.0000
Ag1 0.0000 0.0000 0.0000
Sn1 0.5000 0.5000 0.5000

***

CdAg3Sn: optimized geometry, PBE-GGA.

Values from the calculation:
Volume (Å³/atom): 20.26
Total moment (μB per formula unit): 0.0
Polymorph energy (0 for the lowest one) (eV/atom): 0.042
ρ (Mg/m³): 9.1
Electronic total energy (eV/atom): -2.6593
Formation energy from the elements (kJ/mol of formula units): 17
Space-group type: P2_1/c, No. 14

Unit cell a=7.1302 b=7.2125 c=9.8597 alpha=90.00 beta=126.97 gamma=90.00
Positions (direct):
Cd1 0.1786 0.1706 0.0343
Cd2 0.1786 0.3294 0.5343
Cd3 0.8214 0.6706 0.4657
Cd4 0.8214 0.8294 0.9657
Ag1 0.0378 0.6164 0.2841
Ag2 0.0378 0.8836 0.7841
Ag3 0.2094 0.5904 0.0484
Ag4 0.2094 0.9096 0.5484
Ag5 0.4209 0.1368 0.8676
Ag6 0.4209 0.3632 0.3676
Ag7 0.5791 0.6368 0.6324
Ag8 0.5791 0.8632 0.1324
Ag9 0.7906 0.0904 0.4516
Ag10 0.7906 0.4096 0.9516
Ag11 0.9622 0.1164 0.2159
Ag12 0.9622 0.3836 0.7159
Sn1 0.3595 0.6211 0.8175
Sn2 0.3595 0.8789 0.3175
Sn3 0.6405 0.1211 0.6825
Sn4 0.6405 0.3789 0.1825

***

CdAg6Sn2: optimized geometry, PBE-GGA.

Values from the calculation:
Volume (Å³/atom): 20.75
Total moment (μB per formula unit): 0.0
Polymorph energy (0 for the lowest one) (eV/atom): 0.011
ρ (Mg/m³): 8.9
Electronic total energy (eV/atom): -2.8668
Formation energy from the elements (kJ/mol of formula units): 22
Space-group type: P2_1/c, No. 14

Unit cell a=7.0237 b=7.1774 c=9.8420 alpha=90.00 beta=131.16 gamma=90.00
Positions (direct):
Cd1 0.0000 0.0000 0.0000
Cd2 0.0000 0.5000 0.5000
Ag1 0.0422 0.1607 0.3008
Ag2 0.0422 0.3393 0.8008
Ag3 0.1913 0.6415 0.0344
Ag4 0.1913 0.8585 0.5344
Ag5 0.4191 0.6355 0.8627
Ag6 0.4191 0.8645 0.3627
Ag7 0.5809 0.1355 0.6373
Ag8 0.5809 0.3645 0.1373
Ag9 0.8087 0.1415 0.4656
Ag10 0.8087 0.3585 0.9656
Ag11 0.9578 0.6607 0.1992
Ag12 0.9578 0.8393 0.6992
Sn1 0.3872 0.1073 0.8268
Sn2 0.3872 0.3927 0.3268
Sn3 0.6128 0.6073 0.6732
Sn4 0.6128 0.8927 0.1732

***

Cd3Ag7Sn2: optimized geometry, PBE-GGA.

Values from the calculation:
Volume (Å³/atom): 21.01
Total moment (μB per formula unit): 0.0
Polymorph energy (0 for the lowest one) (eV/atom): 0.041
ρ (Mg/m³): 8.8
Electronic total energy (eV/atom): -2.5035
Formation energy from the elements (kJ/mol of formula units): 64
Space-group type: P2/m, No. 10

Unit cell a=4.7304 b=3.2020 c=16.8086 alpha=90.00 beta=98.08 gamma=90.00
Positions (direct):
Cd1 0.0000 0.0000 0.0000
Cd2 0.3056 0.5000 0.6086
Cd3 0.6944 0.5000 0.3914
Ag1 0.0631 0.5000 0.1401
Ag2 0.2260 0.0000 0.4534
Ag3 0.4298 0.0000 0.8467
Ag4 0.5000 0.5000 0.0000
Ag5 0.5702 0.0000 0.1533
Ag6 0.7740 0.0000 0.5466
Ag7 0.9369 0.5000 0.8599
Sn1 0.1404 0.0000 0.2833
Sn2 0.8596 0.0000 0.7167

***

Cd3AgSn: optimized geometry, PBE-GGA.

Values from the calculation:
Volume (Å³/atom): 22.82
Total moment (μB per formula unit): 0.0
Polymorph energy (0 for the lowest one) (eV/atom): 0.000
ρ (Mg/m³): 8.2
Electronic total energy (eV/atom): -1.9135
Formation energy from the elements (kJ/mol of formula units): 3
Space-group type: P-1, No. 2

Unit cell a=3.1704 b=7.3283 c=10.0637 alpha=95.56 beta=90.39 gamma=101.25
Positions (direct):
Cd1 0.0245 0.0571 0.1477
Cd2 0.1123 0.2442 0.4316
Cd3 0.3454 0.6876 0.0230
Cd4 0.6546 0.3124 0.9770
Cd5 0.8877 0.7558 0.5684
Cd6 0.9755 0.9429 0.8523
Ag1 0.4503 0.8948 0.3517
Ag2 0.5497 0.1052 0.6483
Sn1 0.2268 0.4639 0.7257
Sn2 0.7732 0.5361 0.2743

***

Cd2AgSn2: optimized geometry, PBE-GGA.

Values from the calculation:
Volume (Å³/atom): 26.55
Total moment (μB per formula unit): 0.0
Polymorph energy (0 for the lowest one) (eV/atom): 0.175
ρ (Mg/m³): 7.1
Electronic total energy (eV/atom): -2.2971
Formation energy from the elements (kJ/mol of formula units): 116
Space-group type: I4/mmm, No. 139

Unit cell a=7.9429 b=7.9429 c=7.9429 alpha=148.97 beta=148.97 gamma=44.46
Positions (direct):
Cd1 0.0928 0.0928 0.0000
Cd2 0.9072 0.9072 0.0000
Ag1 0.5000 0.5000 0.0000
Sn1 0.2500 0.7500 0.5000
Sn2 0.7500 0.2500 0.5000

***

Cd3Ag3Sn: optimized geometry, PBE-GGA.

Values from the calculation:
Volume (Å³/atom): 30.95
Total moment (μB per formula unit): 0.0
Polymorph energy (0 for the lowest one) (eV/atom): 0.557
ρ (Mg/m³): 6.0
Electronic total energy (eV/atom): -1.6286
Formation energy from the elements (kJ/mol of formula units): 376
Space-group type: Pm-3n, No. 223

Unit cell a=7.5670 b=7.5670 c=7.5670 alpha=90.00 beta=90.00 gamma=90.00
Positions (direct):
Cd1 0.0000 0.2500 0.5000
Cd2 0.0000 0.7500 0.5000
Cd3 0.2500 0.5000 0.0000
Cd4 0.5000 0.0000 0.2500
Cd5 0.5000 0.0000 0.7500
Cd6 0.7500 0.5000 0.0000
Ag1 0.0000 0.5000 0.2500
Ag2 0.0000 0.5000 0.7500
Ag3 0.2500 0.0000 0.5000
Ag4 0.5000 0.2500 0.0000
Ag5 0.5000 0.7500 0.0000
Ag6 0.7500 0.0000 0.5000
Sn1 0.0000 0.0000 0.0000
Sn2 0.5000 0.5000 0.5000

***

CdAg8Sn2: optimized geometry, PBE-GGA.

Values from the calculation:
Volume (Å³/atom): 19.39
Total moment (μB per formula unit): 0.0
Polymorph energy (0 for the lowest one) (eV/atom): 0.000
ρ (Mg/m³): 9.4
Electronic total energy (eV/atom): -2.8803
Formation energy from the elements (kJ/mol of formula units): 5
Space-group type: C2/m, No. 12

Unit cell a=8.2146 b=8.2146 c=6.7622 alpha=105.32 beta=105.32 gamma=29.06
Positions (direct):
Cd1 0.0000 0.0000 0.0000
Ag1 0.0858 0.0858 0.4544
Ag2 0.1777 0.1777 0.9188
Ag3 0.3658 0.3658 0.8140
Ag4 0.4568 0.4568 0.2718
Ag5 0.5432 0.5432 0.7282
Ag6 0.6342 0.6342 0.1860
Ag7 0.8223 0.8223 0.0812
Ag8 0.9142 0.9142 0.5456
Sn1 0.2793 0.2793 0.3509
Sn2 0.7207 0.7207 0.6491

***

Cd2Ag3Sn: optimized geometry, PBE-GGA.

Values from the calculation:
Volume (Å³/atom): 21.29
Total moment (μB per formula unit): 0.0
Polymorph energy (0 for the lowest one) (eV/atom): 0.016
ρ (Mg/m³): 8.7
Electronic total energy (eV/atom): -2.3701
Formation energy from the elements (kJ/mol of formula units): 16
Space-group type: Cmcm, No. 63

Unit cell a=6.7329 b=6.7329 c=5.6395 alpha=90.00 beta=90.00 gamma=87.66
Positions (direct):
Cd1 0.0603 0.6121 0.7500
Cd2 0.3879 0.9397 0.7500
Cd3 0.6121 0.0603 0.2500
Cd4 0.9397 0.3879 0.2500
Ag1 0.0000 0.0000 0.0000
Ag2 0.0000 0.0000 0.5000
Ag3 0.3237 0.3237 0.0000
Ag4 0.3237 0.3237 0.5000
Ag5 0.6763 0.6763 0.0000
Ag6 0.6763 0.6763 0.5000
Sn1 0.2835 0.7165 0.2500
Sn2 0.7165 0.2835 0.7500